1.
VASP calculation (PBE) on an optimized crystal structure of TlIn2CuBi. Values from VASP.

Summary:
size of the total moment: 0.000 μB/f.u.
ρ: 8.3 Mg/m³
formation energy: 0.8 eV/f.u.
space group: P4/mmm

```
&SYSTEM
  ibrav = 0, nat = 5, ntyp = 4
/
ATOMIC_SPECIES
Tl 204.38 Tl.upf
Bi 208.98 Bi.upf
Cu 63.55 Cu.upf
In 114.82 In.upf
CELL_PARAMETERS angstrom
5.1757 0.0000 0.0000
0.0000 5.1757 0.0000
0.0000 0.0000 5.2674
ATOMIC_POSITIONS crystal
Tl 0.0000 0.0000 0.5000
Bi 0.5000 0.5000 0.5000
Cu 0.0000 0.0000 0.0000
In 0.0000 0.5000 0.0000
In 0.5000 0.0000 0.0000
```

2.
VASP calculation (PBE) on an optimized crystal structure of TlIn2CuBi. Values from VASP.

Summary:
size of the total moment: 0.000 μB/f.u.
ρ: 8.1 Mg/m³
formation energy: 0.7 eV/f.u.
space group: P4/mmm

```
&SYSTEM
  ibrav = 0, nat = 5, ntyp = 4
/
ATOMIC_SPECIES
Tl 204.38 Tl.upf
Bi 208.98 Bi.upf
Cu 63.55 Cu.upf
In 114.82 In.upf
CELL_PARAMETERS angstrom
5.1392 0.0000 0.0000
0.0000 5.1392 0.0000
0.0000 0.0000 5.4982
ATOMIC_POSITIONS crystal
Tl 0.5000 0.5000 0.5000
Bi 0.0000 0.0000 0.5000
Cu 0.0000 0.0000 0.0000
In 0.0000 0.5000 0.0000
In 0.5000 0.0000 0.0000
```

3.
VASP calculation (PBE) on an optimized crystal structure of Cu3BiIr. Values from VASP.

Summary:
size of the total moment: 0.000 μB/f.u.
ρ: 9.6 Mg/m³
formation energy: 4.2 eV/f.u.
space group: Pm-3m

```
&SYSTEM
  ibrav = 0, nat = 5, ntyp = 3
/
ATOMIC_SPECIES
Ir 192.22 Ir.upf
Bi 208.98 Bi.upf
Cu 63.55 Cu.upf
CELL_PARAMETERS angstrom
4.6769 0.0000 0.0000
0.0000 4.6769 0.0000
0.0000 0.0000 4.6769
ATOMIC_POSITIONS crystal
Ir 0.0000 0.0000 0.0000
Bi 0.5000 0.5000 0.5000
Cu 0.0000 0.5000 0.0000
Cu 0.0000 0.0000 0.5000
Cu 0.5000 0.0000 0.0000
```

4.
VASP calculation (PBE) on an optimized crystal structure of CuBi8Ir2. Values from VASP.

Summary:
size of the total moment: 0.000 μB/f.u.
ρ: 10.8 Mg/m³
formation energy: 2.4 eV/f.u.
space group: C2/m

```
&SYSTEM
  ibrav = 0, nat = 11, ntyp = 3
/
ATOMIC_SPECIES
Cu 63.55 Cu.upf
Bi 208.98 Bi.upf
Ir 192.22 Ir.upf
CELL_PARAMETERS angstrom
-3.4969 3.4643 1.9774
-4.5809 -0.7737 -6.9723
-5.9237 -5.9153 -0.3391
ATOMIC_POSITIONS crystal
Cu 0.0000 0.0000 0.0000
Bi 0.2542 0.3567 0.7960
Bi 0.7458 0.2040 0.6433
Bi 0.2689 0.8193 0.8193
Bi 0.7311 0.1807 0.1807
Bi 0.2542 0.7960 0.3567
Bi 0.7458 0.6433 0.2040
Bi 0.7695 0.6467 0.6467
Bi 0.2305 0.3533 0.3533
Ir 0.7678 0.8357 0.8357
Ir 0.2322 0.1643 0.1643
```

5.
VASP calculation (PBE) on an optimized crystal structure of CuBi2Ir2. Values from VASP.

Summary:
size of the total moment: 0.000 μB/f.u.
ρ: 14.3 Mg/m³
formation energy: 1.9 eV/f.u.
space group: P4/mbm

```
&SYSTEM
  ibrav = 0, nat = 10, ntyp = 3
/
ATOMIC_SPECIES
Ir 192.22 Ir.upf
Bi 208.98 Bi.upf
Cu 63.55 Cu.upf
CELL_PARAMETERS angstrom
-5.4460 2.6144 3.5960
-3.3266 -6.1686 -0.5533
1.7018 -1.2291 3.4709
ATOMIC_POSITIONS crystal
Ir 0.3604 0.8604 0.0000
Ir 0.8604 0.6396 0.0000
Ir 0.6396 0.1396 0.0000
Ir 0.1396 0.3604 0.0000
Bi 0.1678 0.6678 0.5000
Bi 0.6678 0.8322 0.5000
Bi 0.8322 0.3322 0.5000
Bi 0.3322 0.1678 0.5000
Cu 0.0000 0.0000 0.0000
Cu 0.5000 0.5000 0.0000
```

6.
VASP calculation (PBE) on an optimized crystal structure of Cu2BiIr2. Values from VASP.

Summary:
size of the total moment: 0.000 μB/f.u.
ρ: 14.8 Mg/m³
formation energy: 1.7 eV/f.u.
space group: P4/mbm

```
&SYSTEM
  ibrav = 0, nat = 10, ntyp = 3
/
ATOMIC_SPECIES
Ir 192.22 Ir.upf
Bi 208.98 Bi.upf
Cu 63.55 Cu.upf
CELL_PARAMETERS angstrom
7.4161 0.0000 0.0000
0.0000 7.4161 0.0000
0.0000 0.0000 2.9408
ATOMIC_POSITIONS crystal
Ir 0.3745 0.8745 0.0000
Ir 0.8745 0.6255 0.0000
Ir 0.6255 0.1255 0.0000
Ir 0.1255 0.3745 0.0000
Bi 0.0000 0.0000 0.0000
Bi 0.5000 0.5000 0.0000
Cu 0.1692 0.6692 0.5000
Cu 0.6692 0.8308 0.5000
Cu 0.8308 0.3308 0.5000
Cu 0.3308 0.1692 0.5000
```

7.
VASP calculation (PBE) on an optimized crystal structure of Mg2CuBiIr. Values from VASP.

Summary:
size of the total moment: 0.000 μB/f.u.
ρ: 8.1 Mg/m³
formation energy: 1.5 eV/f.u.
space group: P4/mmm

```
&SYSTEM
  ibrav = 0, nat = 5, ntyp = 4
/
ATOMIC_SPECIES
Mg 24.30 Mg.upf
Ir 192.22 Ir.upf
Bi 208.98 Bi.upf
Cu 63.55 Cu.upf
CELL_PARAMETERS angstrom
4.7286 0.0000 0.0000
0.0000 4.6983 0.0000
0.0000 0.0000 4.7286
ATOMIC_POSITIONS crystal
Mg 0.0000 0.0000 0.5000
Mg 0.5000 0.0000 0.0000
Ir 0.0000 0.5000 0.0000
Bi 0.5000 0.5000 0.5000
Cu 0.0000 0.0000 0.0000
```

8.
VASP calculation (PBE) on an optimized crystal structure of CuBi2IrO8. Values from VASP.

Summary:
size of the total moment: 1.281 μB/f.u.
ρ: 8.4 Mg/m³
uncorrected energy: -5.784 eV per atom
space group: P-1

```
&SYSTEM
  ibrav = 0, nat = 12, ntyp = 4
/
ATOMIC_SPECIES
Cu 63.55 Cu.upf
Bi 208.98 Bi.upf
Ir 192.22 Ir.upf
O 16.00 O.upf
CELL_PARAMETERS angstrom
0.0986 4.3944 1.9541
-4.2612 0.8071 -2.0334
-3.2453 -2.4950 5.5252
ATOMIC_POSITIONS crystal
Cu 0.0000 0.0000 0.5000
Bi 0.4936 0.5044 0.7447
Bi 0.5064 0.4956 0.2553
Ir 0.0000 0.0000 0.0000
O 0.1710 0.8022 0.2219
O 0.6963 0.7273 0.9990
O 0.8392 0.1802 0.2291
O 0.8290 0.1978 0.7781
O 0.3037 0.2727 0.0010
O 0.1608 0.8198 0.7709
O 0.7097 0.7229 0.5001
O 0.2903 0.2771 0.4999
```

9.
VASP calculation (PBE) on an optimized crystal structure of CuBiIrO5. Values from VASP.

Summary:
size of the total moment: 0.000 μB/f.u.
ρ: 8.4 Mg/m³
uncorrected energy: -6.009 eV per atom
space group: C2/c

```
&SYSTEM
  ibrav = 0, nat = 16, ntyp = 4
/
ATOMIC_SPECIES
Cu 63.55 Cu.upf
Bi 208.98 Bi.upf
Ir 192.22 Ir.upf
O 16.00 O.upf
CELL_PARAMETERS angstrom
5.8368 0.0710 -0.1281
-1.6359 5.6033 -0.1281
-1.9042 -2.5721 6.6636
ATOMIC_POSITIONS crystal
Cu 0.6858 0.3142 0.2500
Cu 0.3142 0.6858 0.7500
Bi 0.3200 0.6800 0.2500
Bi 0.6800 0.3200 0.7500
Ir 0.0000 0.0000 0.5000
Ir 0.0000 0.0000 0.0000
O 0.0716 0.9284 0.2500
O 0.9284 0.0716 0.7500
O 0.8881 0.3017 0.0817
O 0.1119 0.6983 0.9183
O 0.6983 0.1119 0.4183
O 0.3017 0.8881 0.5817
O 0.7397 0.6647 0.3969
O 0.2603 0.3353 0.6031
O 0.3353 0.2603 0.1031
O 0.6647 0.7397 0.8969
```

10.
VASP calculation (PBE) on an optimized crystal structure of PmCuBiIr. Values from VASP.

Summary:
size of the total moment: 0.000 μB/f.u.
ρ: 12.1 Mg/m³
formation energy: -0.9 eV/f.u.
space group: F-43m

```
&SYSTEM
  ibrav = 0, nat = 4, ntyp = 4
/
ATOMIC_SPECIES
Ir 192.22 Ir.upf
Bi 208.98 Bi.upf
Cu 63.55 Cu.upf
Pm 145.00 Pm.upf
CELL_PARAMETERS angstrom
4.9038 0.0000 0.0000
2.4519 4.2468 0.0000
2.4519 1.4156 4.0039
ATOMIC_POSITIONS crystal
Ir 0.7500 0.7500 0.7500
Bi 0.5000 0.5000 0.5000
Cu 0.2500 0.2500 0.2500
Pm 0.0000 0.0000 0.0000
```

11.
VASP calculation (PBE) on an optimized crystal structure of CuBi2IrPt. Values from VASP.

Summary:
size of the total moment: 0.004 μB/f.u.
ρ: 12.5 Mg/m³
formation energy: 4.9 eV/f.u.
space group: P4/mmm

```
&SYSTEM
  ibrav = 0, nat = 5, ntyp = 4
/
ATOMIC_SPECIES
Ir 192.22 Ir.upf
Bi 208.98 Bi.upf
Pt 195.08 Pt.upf
Cu 63.55 Cu.upf
CELL_PARAMETERS angstrom
5.0046 0.0000 0.0000
0.0000 4.6060 0.0000
0.0000 0.0000 5.0046
ATOMIC_POSITIONS crystal
Ir 0.0000 0.5000 0.0000
Bi 0.0000 0.0000 0.5000
Bi 0.5000 0.0000 0.0000
Pt 0.5000 0.5000 0.5000
Cu 0.0000 0.0000 0.0000
```

12.
VASP calculation (PBE) on an optimized crystal structure of CuBi2TeIr. Values from VASP.

Summary:
size of the total moment: 0.000 μB/f.u.
ρ: 10.5 Mg/m³
uncorrected energy: -3.782 eV per atom
space group: P4/mmm

```
&SYSTEM
  ibrav = 0, nat = 5, ntyp = 4
/
ATOMIC_SPECIES
Ir 192.22 Ir.upf
Te 127.60 Te.upf
Bi 208.98 Bi.upf
Cu 63.55 Cu.upf
CELL_PARAMETERS angstrom
5.0618 0.0000 0.0000
0.0000 4.9565 0.0000
0.0000 0.0000 5.0618
ATOMIC_POSITIONS crystal
Ir 0.5000 0.5000 0.5000
Te 0.0000 0.5000 0.0000
Bi 0.0000 0.0000 0.5000
Bi 0.5000 0.0000 0.0000
Cu 0.0000 0.0000 0.0000
```